Computed, not measured: a geometry-optimized PrNpS2O structure at the PBE level of DFT.

Cell and atoms, written as POSCAR:
```
PrNpS2O
1.0
3.9604 0.0000 0.0000
0.0000 3.9604 0.0000
0.0000 0.0000 13.8232
Pr Np S O
2 2 4 2
direct
0.2500 0.2500 0.0911
0.7500 0.7500 0.9089
0.2500 0.2500 0.6117
0.7500 0.7500 0.3883
0.2500 0.2500 0.4080
0.2500 0.2500 0.7967
0.7500 0.7500 0.2033
0.7500 0.7500 0.5920
0.2500 0.7500 0.0000
0.7500 0.2500 0.0000
```

Calculated values
**Space-group type**: P4/nmm, No. 129
**Formation energy without anion corrections**: -2159 meV per atom
**V**: 21.7 A^3/atom
**Size of the total moment**: 3.90 μB per formula unit
**DFT total energy**: -0.30668 hartree per atom